[1]
The following is a PBE-GGA calculation of crystalline YHo4Tm5 at its relaxed geometry, from the Alexandria database.

Excess energy over the best structure of this formula in the dataset ... 0 meV/atom
Energy of formation from the pure elements ... 0.5 eV per formula unit
Volume ... 30.9 Å³/atom

a = 5.3710 Å, b = 6.9640 Å, c = 8.6722 Å
α = 90.02°, β = 107.99°, γ = 90.00°
Space group P1 (No. 1)
One atom of each set of equivalent atoms:
Y: 0.0000 0.0000 0.0000 x1
Ho: 0.1994 0.5018 0.3986 x1
Ho: 0.3895 0.2525 0.7793 x1
Ho: 0.6105 0.2515 0.2209 x1
Ho: 0.7999 0.0007 0.5999 x1
Tm: 0.0000 0.5019 0.0001 x1
Tm: 0.1998 0.0001 0.3996 x1
Tm: 0.3894 0.7505 0.7792 x1
Tm: 0.6106 0.7504 0.2209 x1
Tm: 0.8010 0.5024 0.6021 x1


[2]
The following is a PBE-GGA calculation of crystalline Y6Ho4Tm19 at its relaxed geometry, from the Alexandria database.

Energy of formation from the pure elements ... 11.4 eV per formula unit
Volume ... 32.3 Å³/atom

a = 12.3312 Å, b = 12.3312 Å, c = 12.3312 Å
α = 90.00°, β = 90.00°, γ = 90.00°
Space group I23 (No. 197)
One atom of each set of equivalent atoms:
Y: 0.0000 0.3681 0.5000 x12
Ho: 0.1788 0.1788 0.8212 x8
Tm: 0.0000 0.0000 0.0000 x2
Tm: 0.0000 0.0000 0.2607 x12
Tm: 0.0648 0.2578 0.2748 x24


[3]
The following is a PBE-GGA calculation of crystalline Y2Ho2Tm at its relaxed geometry, from the Alexandria database.

Excess energy over the best structure of this formula in the dataset ... 0 meV/atom
Energy of formation from the pure elements ... 0.1 eV per formula unit
Volume ... 31.3 Å³/atom

a = 14.4767 Å, b = 7.0985 Å, c = 6.1486 Å
α = 90.00°, β = 98.09°, γ = 90.00°
Space group P2_1/c (No. 14)
One atom of each set of equivalent atoms:
Y: 0.1021 0.1251 0.1171 x4
Y: 0.3011 0.6248 0.8532 x4
Ho: 0.1015 0.6249 0.1179 x4
Ho: 0.4992 0.1250 0.2479 x4
Tm: 0.3013 0.1254 0.8511 x4


[4]
The following is a PBE-GGA calculation of crystalline Y5HoTm7 at its relaxed geometry, from the Alexandria database.

Energy of formation from the pure elements ... 3.7 eV per formula unit
Volume ... 32.4 Å³/atom

a = 6.6861 Å, b = 10.9970 Å, c = 11.4463 Å
α = 90.00°, β = 90.00°, γ = 90.00°
Space group Imm2 (No. 44)
One atom of each set of equivalent atoms:
Y: 0.0000 0.0000 0.0000 x2
Y: 0.2307 0.2766 0.0011 x8
Ho: 0.0000 0.5000 0.1990 x2
Tm: 0.0000 0.0000 0.5019 x2
Tm: 0.0000 0.1691 0.2521 x4
Tm: 0.0000 0.1710 0.7500 x4
Tm: 0.0000 0.5000 0.5037 x2
Tm: 0.0000 0.5000 0.8071 x2